# 1
ErZnCd2 | PBE | relaxed

Computed properties:
The total energy is -17.24 eV/cell. The calculation puts the size of the total moment at 0.00 μB per atom. Its density of states at the Fermi level is 5.2 states/eV/cell. The energy relative to the elements comes out at -92 kJ/mol of formula units. As for the space group: No. 59.

Lattice parameters (Å, degrees): 4.5862 6.3901 6.0419 90.01 90.00 90.00
Element x y z (fractional)
Er 0.2500 0.5893 0.2500
Zn 0.2500 0.7286 0.7500
Cd 0.7500 0.8566 0.0027
Er 0.7500 0.4107 0.7500
Zn 0.7500 0.2714 0.2500
Cd 0.7500 0.8566 0.4973
Cd 0.2500 0.1434 0.5027
Cd 0.2500 0.1434 0.9973

# 2
ErZnCd5 | PBE | relaxed

Computed properties:
The total energy is -11.50 eV/cell. The calculation puts the size of the total moment at 0.00 μB per atom. Its density of states at the Fermi level is 3.7 states/eV/cell. The energy relative to the elements comes out at -105 kJ/mol of formula units. As for the space group: No. 123.

Lattice parameters (Å, degrees): 4.6471 4.6471 7.3876 90.00 90.00 90.00
Element x y z (fractional)
Er 0.0000 0.0000 0.0000
Cd 0.5000 0.0000 0.2930
Cd 0.0000 0.5000 0.7070
Cd 0.5000 0.0000 0.7070
Cd 0.5000 0.5000 0.0000
Cd 0.0000 0.5000 0.2930
Zn 0.0000 0.0000 0.5000

# 3
Er3Zn4Cd2 | PBE | relaxed

Computed properties:
The total energy is -23.57 eV/cell. The calculation puts the size of the total moment at 0.00 μB per atom. Its density of states at the Fermi level is 5.4 states/eV/cell. The energy relative to the elements comes out at -285 kJ/mol of formula units. As for the space group: No. 12.

Lattice parameters (Å, degrees): 4.6374 5.7731 8.7027 113.82 90.00 113.68
Element x y z (fractional)
Zn 0.0549 0.1099 0.3949
Zn 0.7290 0.4580 0.0535
Er 0.6626 0.3253 0.6733
Cd 0.3811 0.7623 0.7163
Zn 0.9451 0.8901 0.6051
Er 0.0000 0.0000 0.0000
Zn 0.2710 0.5420 0.9465
Cd 0.6189 0.2377 0.2837
Er 0.3374 0.6747 0.3267

# 4
ErZnCd | PBE | relaxed

Computed properties:
The total energy is -46.49 eV/cell. The calculation puts the size of the total moment at 0.00 μB per atom. Its density of states at the Fermi level is 12.1 states/eV/cell. The energy relative to the elements comes out at -96 kJ/mol of formula units. As for the space group: No. 51.

Lattice parameters (Å, degrees): 4.0630 7.4287 13.0552 90.00 90.00 90.00
Element x y z (fractional)
Zn 0.0000 0.4443 0.7500
Zn 0.5000 0.0528 0.4082
Zn 0.5000 0.9472 0.5918
Er 0.0000 0.7610 0.4572
Cd 0.5000 0.4303 0.1164
Er 0.0000 0.7610 0.0428
Cd 0.5000 0.1950 0.7500
Cd 0.5000 0.4303 0.3836
Er 0.0000 0.2390 0.9572
Zn 0.0000 0.5557 0.2500
Er 0.0000 0.2390 0.5428
Cd 0.5000 0.5697 0.6164
Er 0.0000 0.1466 0.2500
Cd 0.5000 0.5697 0.8836
Zn 0.5000 0.0528 0.0918
Zn 0.5000 0.9472 0.9082
Cd 0.5000 0.8050 0.2500
Er 0.0000 0.8534 0.7500

# 5
Er2Zn2Cd3 | PBE | relaxed

Computed properties:
The total energy is -16.07 eV/cell. The value obtained for the energy above the lowest structure with this stoichiometry is 35 meV/atom. The calculation puts the size of the total moment at 0.00 μB per atom. Its density of states at the Fermi level is 6.6 states/eV/cell. The energy relative to the elements comes out at -159 kJ/mol of formula units. As for the space group: No. 65.

Lattice parameters (Å, degrees): 3.4802 4.3850 10.4618 102.10 90.00 90.00
Element x y z (fractional)
Cd 0.0000 0.0000 0.0000
Er 0.0000 0.8364 0.6728
Er 0.0000 0.1636 0.3272
Cd 0.5000 0.5757 0.1515
Zn 0.5000 0.7169 0.4338
Zn 0.5000 0.2831 0.5662
Cd 0.5000 0.4243 0.8485

# 6
Er2Zn15Cd2 | PBE | relaxed

Computed properties:
The total energy is -33.78 eV/cell. The calculation puts the size of the total moment at 0.00 μB per atom. Its density of states at the Fermi level is 4.1 states/eV/cell. The energy relative to the elements comes out at -358 kJ/mol of formula units. As for the space group: No. 166.

Lattice parameters (Å, degrees): 6.8661 6.8661 6.8661 82.82 82.82 82.82
Element x y z (fractional)
Zn 0.8326 0.3549 0.3549
Zn 0.5000 0.0000 0.0000
Zn 0.0000 0.3038 0.6962
Zn 0.6451 0.6451 0.1674
Zn 0.1674 0.6451 0.6451
Er 0.3428 0.3428 0.3428
Cd 0.1062 0.1062 0.1062
Zn 0.0000 0.0000 0.5000
Cd 0.8938 0.8938 0.8938
Zn 0.6451 0.1674 0.6451
Zn 0.3038 0.6962 0.0000
Zn 0.3038 0.0000 0.6962
Zn 0.0000 0.6962 0.3038
Zn 0.0000 0.5000 0.0000
Zn 0.3549 0.8326 0.3549
Zn 0.6962 0.0000 0.3038
Er 0.6572 0.6572 0.6572
Zn 0.6962 0.3038 0.0000
Zn 0.3549 0.3549 0.8326

# 7
Er2Zn3Cd6 | PBE | relaxed

Computed properties:
The total energy is -19.81 eV/cell. The calculation puts the size of the total moment at 0.00 μB per atom. Its density of states at the Fermi level is 3.4 states/eV/cell. The energy relative to the elements comes out at -132 kJ/mol of formula units. As for the space group: No. 189.

Lattice parameters (Å, degrees): 4.4243 7.9930 7.9930 120.00 90.00 90.00
Element x y z (fractional)
Cd 0.5000 0.7145 0.7145
Cd 0.0000 0.7880 0.0000
Cd 0.5000 0.0000 0.2855
Er 0.0000 0.6667 0.3333
Zn 0.5000 0.3945 0.3945
Cd 0.0000 0.2120 0.2120
Zn 0.5000 0.6055 0.0000
Er 0.0000 0.3333 0.6667
Cd 0.0000 0.0000 0.7880
Zn 0.5000 0.0000 0.6055
Cd 0.5000 0.2855 0.0000

# 8
Er3Zn3Cd | PBE | relaxed

Computed properties:
The total energy is -20.43 eV/cell. The calculation puts the size of the total moment at 0.00 μB per atom. Its density of states at the Fermi level is 7.1 states/eV/cell. The energy relative to the elements comes out at -193 kJ/mol of formula units. As for the space group: No. 44.

Lattice parameters (Å, degrees): 4.4908 3.5905 10.2282 100.11 102.68 90.00
Element x y z (fractional)
Cd 0.4333 0.4333 0.8666
Zn 0.5704 0.5704 0.1408
Er 0.2991 0.7991 0.5982
Er 0.6934 0.1934 0.3869
Er 0.0099 0.0099 0.0199
Zn 0.1418 0.6418 0.2835
Zn 0.8521 0.3521 0.7041

# 9
Er3ZnCd | PBE | relaxed

Computed properties:
The total energy is -34.08 eV/cell. The calculation puts the size of the total moment at 0.00 μB per atom. Its density of states at the Fermi level is 12.8 states/eV/cell. The energy relative to the elements comes out at -112 kJ/mol of formula units. As for the space group: No. 63.

Lattice parameters (Å, degrees): 5.0854 5.0842 10.2045 90.00 75.57 90.00
Element x y z (fractional)
Er 0.2605 0.7500 0.1273
Zn 0.4817 0.7500 0.6850
Er 0.0742 0.7500 0.4999
Zn 0.1667 0.2500 0.3150
Er 0.3878 0.2500 0.8727
Er 0.8880 0.7500 0.8724
Er 0.7604 0.2500 0.1276
Er 0.5741 0.2500 0.5001
Cd 0.9820 0.2500 0.6843
Cd 0.6664 0.7500 0.3157

# 10
Er2ZnCd | PBE | relaxed

Computed properties:
The total energy is -12.58 eV/cell. The value obtained for the energy above the lowest structure with this stoichiometry is 17 meV/atom. The calculation puts the size of the total moment at 0.00 μB per atom. Its density of states at the Fermi level is 3.1 states/eV/cell. The energy relative to the elements comes out at -122 kJ/mol of formula units. As for the space group: No. 225.

Lattice parameters (Å, degrees): 5.1370 5.1370 5.1370 60.00 60.00 60.00
Element x y z (fractional)
Er 0.7500 0.7500 0.7500
Cd 0.0000 0.0000 0.0000
Zn 0.5000 0.5000 0.5000
Er 0.2500 0.2500 0.2500

# 11
Er2ZnCd8 | PBE | relaxed

Computed properties:
The total energy is -19.69 eV/cell. The calculation puts the size of the total moment at 0.00 μB per atom. Its density of states at the Fermi level is 5.8 states/eV/cell. The energy relative to the elements comes out at -190 kJ/mol of formula units. As for the space group: No. 123.

Lattice parameters (Å, degrees): 4.5590 4.5590 12.2700 90.00 90.00 90.00
Element x y z (fractional)
Cd 0.5000 0.0000 0.5000
Zn 0.0000 0.0000 0.0000
Cd 0.0000 0.5000 0.5000
Cd 0.5000 0.0000 0.1274
Er 0.0000 0.0000 0.6916
Cd 0.5000 0.5000 0.6929
Cd 0.0000 0.5000 0.8726
Cd 0.0000 0.5000 0.1274
Cd 0.5000 0.0000 0.8726
Er 0.0000 0.0000 0.3084
Cd 0.5000 0.5000 0.3071

# 12
ErZnCd11 | PBE | relaxed

Computed properties:
The total energy is -16.64 eV/cell. The calculation puts the size of the total moment at 0.00 μB per atom. Its density of states at the Fermi level is 2.0 states/eV/cell. The energy relative to the elements comes out at -71 kJ/mol of formula units. As for the space group: No. 12.

Lattice parameters (Å, degrees): 5.9259 7.5184 7.5659 81.38 66.94 67.51
Element x y z (fractional)
Cd 0.3537 0.6480 0.6559
Er 0.0000 0.0000 0.0000
Cd 0.9904 0.3520 0.6559
Cd 0.0000 0.5000 0.0000
Cd 0.5000 0.0000 0.5000
Cd 0.6463 0.3520 0.3441
Cd 0.0096 0.6480 0.3441
Cd 0.2965 0.2165 0.2101
Cd 0.5066 0.2165 0.7899
Cd 0.0000 0.0000 0.5000
Cd 0.4934 0.7835 0.2101
Zn 0.5000 0.5000 0.0000
Cd 0.7035 0.7835 0.7899

> What is the formula in the first record?

ErZnCd2